Compound: PmHoRe4
Source: Alexandria
Functional: PBE-GGA
Structure: relaxed

abc: 5.450 5.450 5.450
angles: 60.00 60.00 60.00
Fractional coordinates of all 6 atoms:
Pm 0.000 0.000 0.000
Ho 0.750 0.750 0.750
Re 0.375 0.375 0.375
Re 0.375 0.375 0.875
Re 0.375 0.875 0.375
Re 0.875 0.375 0.375

Space group ... F-43m (216)
Density ... 15.30 Mg/m³

Compound: BaPdPb2
Source: Alexandria
Functional: PBE-GGA
Structure: relaxed

abc: 17.895 8.100 6.543
angles: 90.00 90.00 90.00
Fractional coordinates of all 32 atoms:
Ba 0.107 0.250 0.230
Ba 0.143 0.750 0.012
Ba 0.357 0.250 0.512
Ba 0.393 0.750 0.730
Ba 0.607 0.250 0.270
Ba 0.643 0.750 0.488
Ba 0.857 0.250 0.988
Ba 0.893 0.750 0.770
Pd 0.075 0.750 0.488
Pd 0.172 0.250 0.750
Pd 0.328 0.750 0.250
Pd 0.425 0.250 0.988
Pd 0.575 0.750 0.012
Pd 0.672 0.250 0.750
Pd 0.828 0.750 0.250
Pd 0.925 0.250 0.512
Pb 0.037 0.051 0.729
Pb 0.037 0.449 0.729
Pb 0.213 0.555 0.513
Pb 0.213 0.945 0.513
Pb 0.287 0.055 0.013
Pb 0.287 0.445 0.013
Pb 0.463 0.551 0.229
Pb 0.463 0.949 0.229
Pb 0.537 0.051 0.771
Pb 0.537 0.449 0.771
Pb 0.713 0.555 0.987
Pb 0.713 0.945 0.987
Pb 0.787 0.055 0.487
Pb 0.787 0.445 0.487
Pb 0.963 0.551 0.271
Pb 0.963 0.949 0.271

Space group ... Pnma (62)
Density ... 9.22 Mg/m³

Electronic total energy, record by record: -9.947, -4.133 eV/atom
Calculated formation energy, record by record: -0.0931, -0.4996 eV per atom